[1]
# Be2TlSF

A relaxed Be2TlSF crystal (GGA-PBEsol, Alexandria via LeMat-Bulk).

Structure (POSCAR):
```
Be2TlSF
1.0
3.905 0.000 0.000
0.000 3.905 0.000
0.000 0.000 7.041
Be Tl S F
2 1 1 1
Direct
0.000 0.500 0.000 Be
0.500 0.000 0.000 Be
0.000 0.000 0.500 Tl
0.000 0.000 0.000 S
0.500 0.500 0.500 F
```

Calculated values
Crystal system ... tetragonal
Fermi-level density of states ... 0.33 states/eV/atom
Raw formation energy ... -0.043 eV per atom
Magnetic moment ... 0.00 Bohr magnetons per cell


[2]
# Mn2CuOs

A relaxed Mn2CuOs crystal (GGA-PBEsol, Alexandria via LeMat-Bulk).

Structure (POSCAR):
```
Mn2CuOs
1.0
3.634 0.000 0.000
0.000 3.634 0.000
0.000 0.000 3.568
Mn Cu Os
2 1 1
Direct
0.000 0.500 0.000 Mn
0.500 0.000 0.000 Mn
0.000 0.000 0.500 Cu
0.500 0.500 0.500 Os
```

Calculated values
DFT formation energy ... 0.28 eV/atom
Crystal system ... tetragonal
Fermi-level density of states ... 1.13 states/eV/atom
Magnetic moment ... 2.87 Bohr magnetons per cell


[3]
# Eu2ZnP3Pt7

A relaxed Eu2ZnP3Pt7 crystal (GGA-PBEsol, Alexandria via LeMat-Bulk).

Structure (POSCAR):
```
Eu2ZnP3Pt7
1.0
-2.012 2.012 13.374
2.012 -2.012 13.374
2.012 2.012 -13.374
Eu Zn P Pt
2 1 3 7
Direct
0.165 0.165 0.000 Eu
0.835 0.835 0.000 Eu
0.000 0.000 0.000 Zn
0.250 0.750 0.500 P
0.379 0.379 0.000 P
0.621 0.621 0.000 P
0.072 0.572 0.500 Pt
0.292 0.292 0.000 Pt
0.428 0.928 0.500 Pt
0.500 0.500 0.000 Pt
0.573 0.073 0.500 Pt
0.708 0.708 0.000 Pt
0.927 0.427 0.500 Pt
```

Calculated values
DFT formation energy ... -0.90 eV/atom
Crystal system ... tetragonal
Fermi-level density of states ... 1.83 states/eV/atom
Magnetic moment ... 13.40 Bohr magnetons per cell


[4]
# ZnReCl2

A relaxed ZnReCl2 crystal (GGA-PBEsol, Alexandria via LeMat-Bulk).

Structure (POSCAR):
```
ZnReCl2
1.0
-1.431 2.239 5.648
1.431 -2.239 5.648
1.431 2.239 -5.648
Zn Re Cl
1 1 2
Direct
0.000 0.000 0.000 Zn
0.810 0.310 0.500 Re
0.322 0.822 0.500 Cl
0.639 0.639 0.000 Cl
```

Calculated values
Distance to the lowest polymorph of the same formula ... 318 meV per atom
Crystal system ... orthorhombic
Fermi-level density of states ... 0.56 states/eV/atom
Raw formation energy ... 0.421 eV per atom
Magnetic moment ... 0.00 Bohr magnetons per cell


[5]
# FeReRu2

A relaxed FeReRu2 crystal (GGA-PBEsol, Alexandria via LeMat-Bulk).

Structure (POSCAR):
```
FeReRu2
1.0
1.330 0.768 8.551
-1.330 0.768 8.551
0.000 -1.535 8.551
Fe Re Ru
1 1 2
Direct
0.000 0.000 0.000 Fe
0.250 0.250 0.250 Re
0.498 0.498 0.498 Ru
0.745 0.745 0.745 Ru
```

Calculated values
DFT formation energy ... 0.15 eV/atom
Crystal system ... trigonal
Fermi-level density of states ... 1.15 states/eV/atom
Magnetic moment ... 1.49 Bohr magnetons per cell


[6]
# ScCd3C

A relaxed ScCd3C crystal (GGA-PBEsol, Alexandria via LeMat-Bulk).

Structure (POSCAR):
```
ScCd3C
1.0
5.579 0.000 0.000
0.000 5.579 0.000
0.000 0.000 5.579
Sc Cd C
1 3 1
Direct
0.000 0.000 0.000 Sc
0.000 0.000 0.500 Cd
0.000 0.500 0.000 Cd
0.500 0.000 0.000 Cd
0.500 0.500 0.500 C
```

Calculated values
DFT formation energy ... 2.11 eV/atom
Crystal system ... cubic
Fermi-level density of states ... 1.02 states/eV/atom
Magnetic moment ... 2.51 Bohr magnetons per cell


Q: Which value of Fermi-level density of states does entry 5 give?
A: 1.15 states/eV/atom